Record 1
Entry from Alexandria: a relaxed structure of ThMn3Ga9 (PBE).

Cell lengths 5.203, 6.744, 6.953 Å; angles 82.41, 68.03, 69.33 degrees
Each line ends with the local moment (μB).
Atoms (fractional coordinates):
Mn  0.000  0.000  0.500  2.17
Ga  0.290  0.216  0.228  -0.06
Ga  0.000  0.500  0.000  -0.04
Mn  0.500  0.000  0.500  2.17
Ga  0.354  0.663  0.642  -0.04
Th  0.000  0.000  0.000  -0.11
Ga  0.710  0.784  0.772  -0.06
Ga  0.646  0.337  0.358  -0.04
Ga  0.518  0.216  0.772  -0.06
Ga  0.996  0.663  0.358  -0.04
Mn  0.500  0.500  0.000  2.21
Ga  0.004  0.337  0.642  -0.04
Ga  0.482  0.784  0.228  -0.06

Output
The total moment is 6.04 μB per cell. The calculation puts the density of states at the Fermi level at 9.60 states/eV/cell.

=====

Record 2
Entry from Alexandria: a relaxed structure of LiSm2Mg8 (PBE).

Cell lengths 4.995, 6.803, 8.567 Å; angles 101.58, 106.95, 90.00 degrees
Atoms (fractional coordinates):
Mg  0.025  0.733  0.050
Mg  0.975  0.267  0.950
Li  0.500  0.000  0.000
Mg  0.658  0.883  0.315
Sm  0.220  0.657  0.439
Mg  0.853  0.854  0.705
Sm  0.780  0.343  0.561
Mg  0.342  0.117  0.685
Mg  0.588  0.429  0.177
Mg  0.412  0.571  0.823
Mg  0.147  0.146  0.295

Output
The total moment is 0.00 μB per cell. The calculation puts the density of states at the Fermi level at 6.99 states/eV/cell.

=====

Record 3
Entry from Alexandria: a relaxed structure of Tb5Sc3H12 (PBE).

Cell lengths 11.075, 11.075, 11.075 Å; angles 109.47, 109.47, 109.47 degrees
Atoms (fractional coordinates):
Sc  0.125  0.875  0.750
H  0.655  0.431  0.598
Tb  0.500  0.000  0.500
H  0.431  0.776  0.833
Tb  0.875  0.250  0.625
H  0.224  0.569  0.667
H  0.667  0.069  0.224
Tb  0.500  0.000  0.000
H  0.224  0.655  0.057
Sc  0.625  0.250  0.375
H  0.845  0.943  0.276
H  0.569  0.224  0.167
Tb  0.250  0.375  0.625
H  0.345  0.776  0.443
Sc  0.375  0.750  0.625
Tb  0.375  0.250  0.125
H  0.943  0.098  0.667
Sc  0.750  0.875  0.625
H  0.598  0.667  0.443
H  0.333  0.402  0.057
H  0.098  0.155  0.431
Sc  0.625  0.375  0.750
H  0.667  0.598  0.943
H  0.402  0.333  0.557
H  0.057  0.155  0.224
Sc  0.250  0.625  0.875
Tb  0.625  0.750  0.875
H  0.167  0.724  0.569
H  0.443  0.276  0.345
H  0.943  0.845  0.776
Sc  0.875  0.750  0.125
H  0.402  0.069  0.345
H  0.569  0.345  0.902
Sc  0.375  0.625  0.250
H  0.443  0.167  0.598
Sc  0.875  0.125  0.250
H  0.776  0.431  0.333
Tb  0.375  0.125  0.750
H  0.057  0.902  0.333
Tb  0.625  0.875  0.250
H  0.333  0.931  0.776
H  0.167  0.443  0.098
H  0.098  0.943  0.167
H  0.833  0.276  0.431
H  0.557  0.724  0.655
Sc  0.750  0.375  0.125
H  0.655  0.224  0.557
H  0.431  0.655  0.098
Tb  0.000  0.500  0.500
H  0.833  0.557  0.902
Sc  0.250  0.125  0.375
Tb  0.250  0.875  0.125
Tb  0.000  0.000  0.500
H  0.902  0.057  0.833
H  0.724  0.557  0.155
H  0.902  0.845  0.569
H  0.155  0.057  0.724
Tb  0.500  0.500  0.000
Tb  0.750  0.625  0.375
H  0.276  0.443  0.845
H  0.776  0.345  0.943
H  0.931  0.598  0.155
H  0.069  0.667  0.724
H  0.557  0.833  0.402
H  0.845  0.902  0.069
Tb  0.000  0.500  0.000
H  0.931  0.333  0.276
H  0.598  0.931  0.655
Tb  0.500  0.500  0.500
H  0.155  0.098  0.931
Tb  0.125  0.375  0.250
H  0.276  0.833  0.931
H  0.069  0.402  0.845
Sc  0.125  0.250  0.875
H  0.345  0.569  0.402
Tb  0.875  0.625  0.750
Tb  0.125  0.750  0.375
H  0.724  0.167  0.069
Tb  0.000  0.000  0.000
Tb  0.750  0.125  0.875

Output
The total moment is 0.00 μB per cell. The calculation puts the density of states at the Fermi level at 40.74 states/eV/cell.

=====

Record 4
Entry from Alexandria: a relaxed structure of MnCuSi2 (PBE).

Cell lengths 4.420, 4.420, 4.420 Å; angles 131.00, 131.03, 71.79 degrees
Each line ends with the local moment (μB).
Atoms (fractional coordinates):
Cu  0.750  0.250  0.500  0.01
Mn  0.250  0.750  0.500  1.77
Si  0.000  0.000  0.000  -0.02
Si  0.500  0.500  0.000  -0.02

Output
The total moment is 1.73 μB per cell. The calculation puts the density of states at the Fermi level at 1.11 states/eV/cell.

=====

Record 5
Entry from Alexandria: a relaxed structure of Rb2AlCrI6 (PBE).

Cell lengths 8.195, 8.195, 8.192 Å; angles 59.99, 59.99, 90.00 degrees
Each line ends with the local moment (μB).
Atoms (fractional coordinates):
I  0.748  0.748  0.000  0.01
Rb  0.250  0.750  0.500  0.00
I  0.252  0.748  0.000  0.01
Rb  0.750  0.250  0.500  0.00
I  0.747  0.747  0.505  0.01
Cr  0.000  0.000  0.000  3.94
I  0.748  0.252  0.000  0.01
Al  0.500  0.500  0.000  0.09
I  0.253  0.253  0.495  0.01
I  0.252  0.252  0.000  0.01

Output
The total moment is 4.74 μB per cell. The calculation puts the density of states at the Fermi level at 3.25 states/eV/cell.

=====

Record 6
Entry from Alexandria: a relaxed structure of Ac2Pd2Rh (PBE).

Cell lengths 4.029, 4.157, 7.740 Å; angles 105.58, 90.00, 90.00 degrees
Atoms (fractional coordinates):
Pd  0.500  0.311  0.621
Ac  0.000  0.929  0.859
Ac  0.000  0.677  0.355
Rh  0.500  0.123  0.246
Pd  0.500  0.502  0.003

Output
The total moment is 0.00 μB per cell. The calculation puts the density of states at the Fermi level at 2.79 states/eV/cell.

=====

| no. | VASP energy (eV/atom) |
| --- | --- |
| 1 | -4.9756 |
| 2 | -2.2347 |
| 3 | -4.5409 |
| 4 | -6.0832 |
| 5 | -3.2253 |
| 6 | -5.9040 |